A plane-wave DFT calculation with PBE-GGA was carried out for a relaxed structure of VCu2Ni8.

Cell lengths 6.3224, 11.3797, 4.2034 Å; angles 90.00, 121.06, 90.00 degrees
With the nearest neighbours (Å) after each atom.
Space group C2/m (No. 12)
Symmetry-distinct sites (fractional):
V: 0.0000 0.0000 0.0000 (multiplicity 2)  4 Ni 2.30-2.32
Cu: 0.0000 0.3069 0.5000 (multiplicity 4)  8 Ni 2.40-2.50
Ni: 0.0000 0.2035 0.0000 (multiplicity 4)  1 V 2.32, 2 Cu 2.41, 2 Ni 2.57
Ni: 0.0862 0.5000 0.8042 (multiplicity 4)  6 Ni 2.20-2.46, 1 V 2.30, 2 Cu 2.46
Ni: 0.2134 0.1121 0.6533 (multiplicity 8)  5 Ni 2.31-2.57, 2 Cu 2.40-2.50

Values from the calculation:
Energy relative to the elements   0.1714 eV/atom
Crystal system   monoclinic
Energy relative to the lowest polymorph listed for this composition   41 meV per atom